Entry w
A geometry-optimized Tl5Tc3 structure, computed with PBE.

Cell: 8.2358 8.2358 5.7369 Å, 90.00 90.00 120.00°
Element x y z (fractional)
1 Tl 0.0000 0.2406 0.2500
2 Tl 0.0000 0.7594 0.7500
3 Tl 0.2406 0.0000 0.2500
4 Tl 0.2406 0.2406 0.7500
5 Tl 0.3333 0.6667 0.0000
6 Tl 0.3333 0.6667 0.5000
7 Tl 0.6667 0.3333 0.0000
8 Tl 0.6667 0.3333 0.5000
9 Tl 0.7594 0.0000 0.7500
10 Tl 0.7594 0.7594 0.2500
11 Tc 0.0000 0.3942 0.7500
12 Tc 0.0000 0.6058 0.2500
13 Tc 0.3942 0.0000 0.7500
14 Tc 0.3942 0.3942 0.2500
15 Tc 0.6058 0.0000 0.2500
16 Tc 0.6058 0.6058 0.7500

Density of states at the Fermi level, states/eV per cell: 16.28
Spin magnetization, μB per formula unit: 3.35
SG: P6_3/mcm, No. 193

***

Entry x
A geometry-optimized Tl5Tc3 structure, computed with PBE.

Cell: 6.2367 7.9076 8.9672 Å, 72.85 83.93 71.39°
Element x y z (fractional)
1 Tl 0.0028 0.2965 0.9997
2 Tl 0.2639 0.3319 0.3039
3 Tl 0.2791 0.5695 0.6716
4 Tl 0.2958 0.8061 0.2176
5 Tl 0.3170 0.9744 0.8065
6 Tl 0.6830 0.0256 0.1935
7 Tl 0.7042 0.1939 0.7824
8 Tl 0.7209 0.4305 0.3284
9 Tl 0.7361 0.6681 0.6961
10 Tl 0.9972 0.7035 0.0003
11 Tc 0.0215 0.1264 0.5373
12 Tc 0.3896 0.9152 0.4736
13 Tc 0.4363 0.3900 0.9870
14 Tc 0.5637 0.6100 0.0130
15 Tc 0.6104 0.0848 0.5264
16 Tc 0.9785 0.8736 0.4627

Density of states at the Fermi level, states/eV per cell: 10.87
Spin magnetization, μB per formula unit: 0.00
SG: P-1, No. 2

***

Entry y
A geometry-optimized Tl5Tc3 structure, computed with PBE.

Cell: 7.6569 7.6569 3.2702 Å, 90.00 90.00 99.31°
Element x y z (fractional)
1 Tl 0.0000 0.0000 0.0000
2 Tl 0.0000 0.5000 0.0000
3 Tl 0.2632 0.2632 0.5000
4 Tl 0.5000 0.0000 0.0000
5 Tl 0.7368 0.7368 0.5000
6 Tc 0.3321 0.6679 0.5000
7 Tc 0.5000 0.5000 0.0000
8 Tc 0.6679 0.3321 0.5000

Density of states at the Fermi level, states/eV per cell: 7.66
Spin magnetization, μB per formula unit: 0.00
SG: Cmmm, No. 65

***

Relative energies in eV/atom: entry w 0.265; entry x 0.000; entry y 0.125

***

Entry w
A geometry-optimized Tl5Tc4 structure, computed with PBE.

Cell: 8.4151 8.4151 5.7441 Å, 90.00 90.00 120.00°
Element x y z (fractional)
1 Tl 0.0000 0.2884 0.2500
2 Tl 0.0000 0.7116 0.7500
3 Tl 0.2884 0.0000 0.2500
4 Tl 0.2884 0.2884 0.7500
5 Tl 0.3333 0.6667 0.0000
6 Tl 0.3333 0.6667 0.5000
7 Tl 0.6667 0.3333 0.0000
8 Tl 0.6667 0.3333 0.5000
9 Tl 0.7116 0.0000 0.7500
10 Tl 0.7116 0.7116 0.2500
11 Tc 0.0000 0.0000 0.0000
12 Tc 0.0000 0.0000 0.5000
13 Tc 0.0000 0.3746 0.7500
14 Tc 0.0000 0.6254 0.2500
15 Tc 0.3746 0.0000 0.7500
16 Tc 0.3746 0.3746 0.2500
17 Tc 0.6254 0.0000 0.2500
18 Tc 0.6254 0.6254 0.7500

Density of states at the Fermi level, states/eV per cell: 20.32
Spin magnetization, μB per formula unit: 3.41
SG: P6_3/mcm, No. 193

***

Entry x
A geometry-optimized Tl5Tc4 structure, computed with PBE.

Cell: 6.8592 6.8592 6.8592 Å, 96.21 96.21 141.59°
Element x y z (fractional)
1 Tl 0.0000 0.0000 0.0000
2 Tl 0.3244 0.3244 0.6488
3 Tl 0.3244 0.6756 0.0000
4 Tl 0.6756 0.3244 0.0000
5 Tl 0.6756 0.6756 0.3512
6 Tc 0.0000 0.3728 0.3728
7 Tc 0.0000 0.6272 0.6272
8 Tc 0.3728 0.0000 0.3728
9 Tc 0.6272 0.0000 0.6272

Density of states at the Fermi level, states/eV per cell: 6.78
Spin magnetization, μB per formula unit: 0.00
SG: I4/mmm, No. 139

***

Relative energies in eV/atom: entry w 0.281; entry x 0.000

***

Entry w
A geometry-optimized Tl4Tc3 structure, computed with PBE.

Cell: 15.9762 15.9762 15.9762 Å, 168.91 168.91 15.71°
Element x y z (fractional)
1 Tl 0.0646 0.0646 0.0000
2 Tl 0.3419 0.3419 0.0000
3 Tl 0.6581 0.6581 0.0000
4 Tl 0.9354 0.9354 0.0000
5 Tc 0.2289 0.2289 0.0000
6 Tc 0.5000 0.5000 0.0000
7 Tc 0.7711 0.7711 0.0000

Density of states at the Fermi level, states/eV per cell: 5.50
Spin magnetization, μB per formula unit: 1.75
SG: I4/mmm, No. 139

***

Entry x
A geometry-optimized Tl4Tc3 structure, computed with PBE.

Cell: 5.4532 5.4532 5.5390 Å, 90.00 90.00 120.00°
Element x y z (fractional)
1 Tl 0.0000 0.0000 0.2504
2 Tl 0.0000 0.0000 0.7496
3 Tl 0.3333 0.6667 0.0000
4 Tl 0.6667 0.3333 0.0000
5 Tc 0.0000 0.5000 0.5000
6 Tc 0.5000 0.0000 0.5000
7 Tc 0.5000 0.5000 0.5000

Density of states at the Fermi level, states/eV per cell: 5.35
Spin magnetization, μB per formula unit: 0.00
SG: P6/mmm, No. 191

***

Relative energies in eV/atom: entry w 0.000; entry x 0.157